a) Below is a relaxed TlZnTc2 crystal, with properties calculated at the PBE level.

Lattice parameters (Å, degrees): 9.7574 9.7574 9.7574 17.15 17.15 17.15
Element x y z (fractional)
Tc  0.2606  0.2606  0.2606
Tc  0.9963  0.9963  0.9963
Tl  0.5049  0.5049  0.5049
Zn  0.7381  0.7381  0.7381


b) Below is a relaxed TlZnTc2 crystal, with properties calculated at the PBE level.

Lattice parameters (Å, degrees): 5.4300 5.4300 2.8467 77.36 77.36 118.32
Element x y z (fractional)
Tl  0.5000  0.0000  0.5000
Tc  0.0000  0.0000  0.0000
Tc  0.5000  0.5000  0.0000
Zn  0.0000  0.5000  0.5000


c) Below is a relaxed TlZnTc2 crystal, with properties calculated at the PBE level.

Lattice parameters (Å, degrees): 4.6902 4.6902 5.1171 83.04 83.04 37.05
Element x y z (fractional)
Tc  0.9982  0.9982  0.0183
Tc  0.2554  0.2554  0.2026
Zn  0.7438  0.7438  0.7681
Tl  0.5027  0.5027  0.5110


d) Below is a relaxed TlZnTc2 crystal, with properties calculated at the PBE level.

Lattice parameters (Å, degrees): 5.3475 5.3475 5.3475 145.91 129.10 62.69
Element x y z (fractional)
Zn  0.2500  0.7500  0.5000
Tl  0.7500  0.2500  0.5000
Tc  0.4886  0.4886  0.0000
Tc  0.0114  0.0114  0.0000


Preferred: a); penalty for the next structure: 137 meV/atom.